w | # Nd2SbSe5, optimized geometry, DFT PBE
data_Nd2SbSe5
_chemical_formula_sum 'Nd4 Sb2 Se10'
_cell_length_a 4.1787
_cell_length_b 8.1873
_cell_length_c 12.1339
_cell_angle_alpha 90.00
_cell_angle_beta 90.00
_cell_angle_gamma 90.00
_symmetry_space_group_name_H-M 'P 1'
_symmetry_Int_Tables_number 1
loop_
_symmetry_equiv_pos_as_xyz
'x,y,z'
loop_
_atom_site_label
_atom_site_fract_x
_atom_site_fract_y
_atom_site_fract_z
_atom_site_occupancy
Nd1 0.5000 0.5397 0.1742 1
Nd2 0.5000 0.4603 0.8258 1
Nd3 0.5000 0.9603 0.6742 1
Nd4 0.5000 0.0397 0.3258 1
Sb1 0.0000 0.5000 0.5000 1
Sb2 0.0000 0.0000 0.0000 1
Se1 0.0000 0.0000 0.5000 1
Se2 0.0000 0.5000 0.0000 1
Se3 0.0000 0.8247 0.1997 1
Se4 0.0000 0.1753 0.8003 1
Se5 0.0000 0.6753 0.6997 1
Se6 0.0000 0.3247 0.3003 1
Se7 0.5000 0.6797 0.4075 1
Se8 0.5000 0.3203 0.5925 1
Se9 0.5000 0.8203 0.9075 1
Se10 0.5000 0.1797 0.0925 1
# **V**: 207.56 Å³/f.u.

=====

x | # Nd2SbSe5, optimized geometry, DFT PBE
data_Nd2SbSe5
_chemical_formula_sum 'Nd4 Sb2 Se10'
_cell_length_a 5.6705
_cell_length_b 7.7600
_cell_length_c 13.7292
_cell_angle_alpha 90.00
_cell_angle_beta 90.00
_cell_angle_gamma 111.43
_symmetry_space_group_name_H-M 'P 1'
_symmetry_Int_Tables_number 1
loop_
_symmetry_equiv_pos_as_xyz
'x,y,z'
loop_
_atom_site_label
_atom_site_fract_x
_atom_site_fract_y
_atom_site_fract_z
_atom_site_occupancy
Nd1 0.8407 0.6814 0.4297 1
Nd2 0.8407 0.6814 0.0703 1
Nd3 0.1593 0.3186 0.5703 1
Nd4 0.1593 0.3186 0.9297 1
Sb1 0.8372 0.6743 0.7500 1
Sb2 0.1628 0.3257 0.2500 1
Se1 0.9589 0.9179 0.8961 1
Se2 0.9589 0.9179 0.6039 1
Se3 0.2964 0.5927 0.4079 1
Se4 0.2964 0.5927 0.0921 1
Se5 0.7173 0.4347 0.2500 1
Se6 0.2827 0.5653 0.7500 1
Se7 0.7036 0.4073 0.5921 1
Se8 0.7036 0.4073 0.9079 1
Se9 0.0411 0.0821 0.1039 1
Se10 0.0411 0.0821 0.3961 1
# **V**: 281.18 Å³/f.u.

=====

What are the relative energies? In meV per atom: w 0; x 124.

=====

w | # Nd5Sb4Se, optimized geometry, DFT PBE
data_Nd5Sb4Se
_chemical_formula_sum 'Nd5 Sb4 Se1'
_cell_length_a 4.4769
_cell_length_b 4.4769
_cell_length_c 16.1109
_cell_angle_alpha 97.99
_cell_angle_beta 97.99
_cell_angle_gamma 90.00
_symmetry_space_group_name_H-M 'P 1'
_symmetry_Int_Tables_number 1
loop_
_symmetry_equiv_pos_as_xyz
'x,y,z'
loop_
_atom_site_label
_atom_site_fract_x
_atom_site_fract_y
_atom_site_fract_z
_atom_site_occupancy
Nd1 0.0977 0.0977 0.1954 1
Nd2 0.5000 0.5000 0.0000 1
Nd3 0.9023 0.9023 0.8046 1
Nd4 0.2997 0.2997 0.5993 1
Nd5 0.7003 0.7003 0.4007 1
Sb1 0.4012 0.4012 0.8025 1
Sb2 0.8014 0.8014 0.6028 1
Sb3 0.1986 0.1986 0.3972 1
Sb4 0.5988 0.5988 0.1975 1
Se1 0.0000 0.0000 0.0000 1
# **V**: 316.61 Å³/f.u.

=====

x | # Nd5Sb4Se, optimized geometry, DFT PBE
data_Nd5Sb4Se
_chemical_formula_sum 'Nd5 Sb4 Se1'
_cell_length_a 6.3356
_cell_length_b 7.7458
_cell_length_c 7.7458
_cell_angle_alpha 80.37
_cell_angle_beta 65.86
_cell_angle_gamma 65.86
_symmetry_space_group_name_H-M 'P 1'
_symmetry_Int_Tables_number 1
loop_
_symmetry_equiv_pos_as_xyz
'x,y,z'
loop_
_atom_site_label
_atom_site_fract_x
_atom_site_fract_y
_atom_site_fract_z
_atom_site_occupancy
Nd1 0.9013 0.3946 0.8048 1
Nd2 0.2959 0.8048 0.6054 1
Nd3 0.7061 0.1952 0.3946 1
Nd4 0.1007 0.6054 0.1952 1
Nd5 0.5013 0.0000 0.0000 1
Sb1 0.4035 0.3977 0.7973 1
Sb2 0.8012 0.7973 0.6023 1
Sb3 0.2008 0.2027 0.3977 1
Sb4 0.5985 0.6023 0.2027 1
Se1 0.0011 0.0000 0.0000 1
# **V**: 316.54 Å³/f.u.

=====

What are the relative energies? In meV per atom: w 14; x 0.